Ag3BiB, optimized geometry, DFT PBE-GGA; electronic total energy = -2.314 eV per atom; SG = No. 221; energy of formation = 727.6 kJ/mol of formula units
1.0
-1.1703 2.1026 4.8372
-5.2622 -0.1293 -1.2169
-0.3578 -4.9751 2.0760
B Bi Ag
1 1 3
Cartesian
-3.3952 -1.5009 2.8481 B
0.0000 0.0000 0.0000 Bi
-2.6311 -0.0647 -0.6085 Ag
-0.1789 -2.4875 1.0380 Ag
-0.5852 1.0513 2.4186 Ag

***

AgBi2B, optimized geometry, DFT PBE-GGA; electronic total energy = -3.705 eV per atom; SG = No. 122; energy of formation = 238.3 kJ/mol of formula units
1.0
-4.6027 -4.0302 -1.4780
4.0159 -3.2772 -3.5698
1.0135 -6.7167 1.7582
B Bi Ag
2 4 2
Cartesian
-0.2934 -3.6537 -2.5239 B
2.3680 -6.8238 -2.1677 B
-1.8564 -4.3757 -0.8454 Bi
1.9231 -4.4631 -2.0614 Bi
0.7712 -7.9664 -0.7797 Bi
0.0156 -11.2429 -2.8927 Bi
0.0000 0.0000 0.0000 Ag
-1.9412 -7.2003 -1.1218 Ag

***

Ag2BiB2, optimized geometry, DFT PBE-GGA; electronic total energy = -3.869 eV per atom; SG = No. 139; energy of formation = 346.6 kJ/mol of formula units
1.0
4.0037 0.0000 0.0000
0.0000 4.0037 0.0000
2.0018 2.0018 4.9410
B Bi Ag
2 1 2
Cartesian
2.0019 2.0019 0.8024 B
4.0037 4.0037 4.1386 B
0.0000 0.0000 0.0000 Bi
4.0037 2.0018 2.4705 Ag
2.0018 4.0037 2.4705 Ag

***

Ag2BiB, optimized geometry, DFT PBE-GGA; electronic total energy = -3.065 eV per atom; SG = No. 225; energy of formation = 386.0 kJ/mol of formula units
1.0
0.0000 3.3948 3.3948
3.3948 0.0000 3.3948
3.3948 3.3948 0.0000
B Bi Ag
1 1 2
Cartesian
0.0000 0.0000 0.0000 B
3.3948 3.3948 3.3948 Bi
1.6974 1.6974 1.6974 Ag
5.0921 5.0921 5.0921 Ag

***

Ag3BiB, optimized geometry, DFT PBE-GGA; electronic total energy = -3.333 eV per atom; SG = No. 221; energy of formation = 236.1 kJ/mol of formula units
1.0
-3.8432 0.6547 2.3272
-1.5595 -4.0111 -1.4471
1.8473 -2.0242 3.6201
B Bi Ag
1 1 3
Cartesian
0.0000 0.0000 0.0000 B
-1.7777 -2.6903 2.2501 Bi
-0.7797 -2.0056 -0.7235 Ag
0.9236 -1.0121 1.8101 Ag
-1.9216 0.3273 1.1636 Ag

***

Cr2AgBiB, optimized geometry, DFT PBE-GGA; electronic total energy = -4.533 eV per atom; SG = No. 123; energy of formation = 964.0 kJ/mol of formula units
1.0
-1.4676 -3.1395 3.9940
2.6714 -4.0641 -2.2129
4.3381 1.3890 2.6859
Cr B Bi Ag
2 1 1 1
Cartesian
2.1690 0.6945 1.3429 Cr
-0.7338 -1.5697 1.9970 Cr
2.7709 -2.9073 2.2335 B
0.0000 0.0000 0.0000 Bi
1.3357 -2.0321 -1.1065 Ag